AcLa3Pr8: relaxed, GGA-PBE.

Summary:
- Symmetry: Immm (71)
- ΔE_f: 3.16 eV/f.u.
- Electronic total energy: -4.497 eV/atom

a = 9.100 Å, b = 9.100 Å, c = 9.100 Å
α = 137.12°, β = 98.06°, γ = 97.29°
Sites, in units of the cell vectors:
Ac  0.000  0.000  0.000
La  0.258  0.500  0.758
La  0.500  0.000  0.500
La  0.742  0.500  0.242
Pr  0.077  0.825  0.252
Pr  0.261  0.020  0.759
Pr  0.261  0.503  0.241
Pr  0.428  0.175  0.252
Pr  0.572  0.825  0.748
Pr  0.739  0.497  0.759
Pr  0.739  0.980  0.241
Pr  0.923  0.175  0.748